Material: Li3Cr2P3O12
Method: DFT, GGA+U
State: optimized geometry

a = 8.4937 Å, b = 8.7032 Å, c = 12.2755 Å
α = 90.00°, β = 91.94°, γ = 90.00°
Element x y z (fractional)
Li 0.0000 0.0000 0.0000
Li 0.0000 0.0000 0.5000
Li 0.0000 0.1048 0.2500
Li 0.0000 0.8952 0.7500
Li 0.2445 0.3101 0.5618
Li 0.2445 0.6899 0.0618
Li 0.5000 0.3933 0.2500
Li 0.5000 0.5000 0.0000
Li 0.5000 0.5000 0.5000
Li 0.5000 0.6067 0.7500
Li 0.7555 0.3101 0.9382
Li 0.7555 0.6899 0.4382
Cr 0.2183 0.4997 0.3553
Cr 0.2183 0.5003 0.8553
Cr 0.2826 0.0006 0.1445
Cr 0.2826 0.9994 0.6445
Cr 0.7174 0.0006 0.3555
Cr 0.7174 0.9994 0.8555
Cr 0.7817 0.4997 0.1447
Cr 0.7817 0.5003 0.6447
P 0.0000 0.2080 0.7500
P 0.0000 0.7920 0.2500
P 0.1553 0.3571 0.1060
P 0.1553 0.6429 0.6060
P 0.3436 0.1403 0.3932
P 0.3436 0.8597 0.8932
P 0.5000 0.2974 0.7500
P 0.5000 0.7026 0.2500
P 0.6564 0.1403 0.1068
P 0.6564 0.8597 0.6068
P 0.8447 0.3571 0.3940
P 0.8447 0.6429 0.8940
O 0.0203 0.3932 0.3862
O 0.0203 0.6068 0.8862
O 0.0685 0.0977 0.6616
O 0.0685 0.9023 0.1616
O 0.1244 0.3053 0.8097
O 0.1244 0.6947 0.3097
O 0.1619 0.1816 0.0845
O 0.1619 0.8184 0.5845
O 0.2379 0.4526 0.0162
O 0.2379 0.5474 0.5162
O 0.2431 0.0957 0.2907
O 0.2431 0.9043 0.7907
O 0.2482 0.0893 0.4932
O 0.2482 0.9107 0.9932
O 0.2521 0.4055 0.2098
O 0.2521 0.5945 0.7098
O 0.3586 0.3200 0.4077
O 0.3586 0.6800 0.9077
O 0.3717 0.2041 0.6891
O 0.3717 0.7959 0.1891
O 0.4344 0.4066 0.8395
O 0.4344 0.5934 0.3395
O 0.4905 0.0787 0.1118
O 0.4905 0.9213 0.6118
O 0.5095 0.0787 0.3882
O 0.5095 0.9213 0.8882
O 0.5656 0.4066 0.6605
O 0.5656 0.5934 0.1605
O 0.6283 0.2041 0.8109
O 0.6283 0.7959 0.3109
O 0.6414 0.3200 0.0923
O 0.6414 0.6800 0.5923
O 0.7479 0.4055 0.2902
O 0.7479 0.5945 0.7902
O 0.7518 0.0893 0.0068
O 0.7518 0.9107 0.5068
O 0.7569 0.0957 0.2093
O 0.7569 0.9043 0.7093
O 0.7621 0.4526 0.4838
O 0.7621 0.5474 0.9838
O 0.8381 0.1816 0.4155
O 0.8381 0.8184 0.9155
O 0.8756 0.3053 0.6903
O 0.8756 0.6947 0.1903
O 0.9315 0.0977 0.8384
O 0.9315 0.9023 0.3384
O 0.9797 0.3932 0.1138
O 0.9797 0.6068 0.6138

D(E_F) ... 0.000 states/eV per atom
Density ... 3.00 Mg/m³
Energy above the most stable polymorph in this dataset ... 35 meV/atom
Electronic total energy ... -563.355 eV for the cell shown
Space-group type ... No. 13
Volume ... 906.9 Å³ per cell